<1>
# PBE NbTeSCl2, relaxed
# D(E_F) (states/eV/f.u.): 7.4
# Theoretical density (kg/m3): 3695
data_NbTeSCl2
_cell_length_a 5.224
_cell_length_b 5.224
_cell_length_c 5.327
_cell_angle_alpha 90.00
_cell_angle_beta 90.00
_cell_angle_gamma 90.00
_symmetry_space_group_name_H-M 'P 4/m m m'
_symmetry_Int_Tables_number 123
_symmetry_space_group_name_Hall '-P 4 2'
loop_
_atom_site_label
_atom_site_type_symbol
_atom_site_fract_x
_atom_site_fract_y
_atom_site_fract_z
_atom_site_occupancy
Nb1 Nb 0.000 0.000 0.000 1
Te1 Te 0.500 0.500 0.500 1
S1 S 0.500 0.500 0.000 1
Cl1 Cl 0.000 0.500 0.500 1


<2>
# PBE NbTeSCl2, relaxed
# D(E_F) (states/eV/f.u.): 4.1
# Theoretical density (kg/m3): 4496
data_NbTeSCl2
_cell_length_a 4.941
_cell_length_b 4.941
_cell_length_c 4.894
_cell_angle_alpha 90.00
_cell_angle_beta 90.00
_cell_angle_gamma 90.00
_symmetry_space_group_name_H-M 'P 4/m m m'
_symmetry_Int_Tables_number 123
_symmetry_space_group_name_Hall '-P 4 2'
loop_
_atom_site_label
_atom_site_type_symbol
_atom_site_fract_x
_atom_site_fract_y
_atom_site_fract_z
_atom_site_occupancy
Nb1 Nb 0.000 0.000 0.000 1
Te1 Te 0.500 0.500 0.500 1
S1 S 0.000 0.000 0.500 1
Cl1 Cl 0.000 0.500 0.000 1


Going by the computed energies, the most stable comes first: <2>, <1>.


<1>
# PBE NbTeS2Cl, relaxed
# D(E_F) (states/eV/f.u.): 6.5
# Theoretical density (kg/m3): 3978
data_NbTeS2Cl
_cell_length_a 5.172
_cell_length_b 5.172
_cell_length_c 4.995
_cell_angle_alpha 90.00
_cell_angle_beta 90.00
_cell_angle_gamma 90.00
_symmetry_space_group_name_H-M 'P 4/m m m'
_symmetry_Int_Tables_number 123
_symmetry_space_group_name_Hall '-P 4 2'
loop_
_atom_site_label
_atom_site_type_symbol
_atom_site_fract_x
_atom_site_fract_y
_atom_site_fract_z
_atom_site_occupancy
Nb1 Nb 0.000 0.000 0.000 1
Te1 Te 0.500 0.500 0.500 1
S1 S 0.000 0.500 0.500 1
Cl1 Cl 0.500 0.500 0.000 1


<2>
# PBE NbTeS2Cl, relaxed
# D(E_F) (states/eV/f.u.): 4.5
# Theoretical density (kg/m3): 4589
data_NbTeS2Cl
_cell_length_a 4.882
_cell_length_b 4.882
_cell_length_c 4.860
_cell_angle_alpha 90.00
_cell_angle_beta 90.00
_cell_angle_gamma 90.00
_symmetry_space_group_name_H-M 'P 4/m m m'
_symmetry_Int_Tables_number 123
_symmetry_space_group_name_Hall '-P 4 2'
loop_
_atom_site_label
_atom_site_type_symbol
_atom_site_fract_x
_atom_site_fract_y
_atom_site_fract_z
_atom_site_occupancy
Nb1 Nb 0.000 0.000 0.000 1
Te1 Te 0.500 0.500 0.500 1
S1 S 0.000 0.500 0.000 1
Cl1 Cl 0.000 0.000 0.500 1


Going by the computed energies, the most stable comes first: <2>, <1>.


<1>
# PBE TiNbSCl2, relaxed
# D(E_F) (states/eV/f.u.): 8.3
# Theoretical density (kg/m3): 3754
data_TiNbSCl2
_cell_length_a 4.691
_cell_length_b 4.691
_cell_length_c 4.900
_cell_angle_alpha 90.00
_cell_angle_beta 90.00
_cell_angle_gamma 90.00
_symmetry_space_group_name_H-M 'P 4/m m m'
_symmetry_Int_Tables_number 123
_symmetry_space_group_name_Hall '-P 4 2'
loop_
_atom_site_label
_atom_site_type_symbol
_atom_site_fract_x
_atom_site_fract_y
_atom_site_fract_z
_atom_site_occupancy
Ti1 Ti 0.000 0.000 0.000 1
Nb1 Nb 0.500 0.500 0.500 1
S1 S 0.000 0.000 0.500 1
Cl1 Cl 0.000 0.500 0.000 1


<2>
# PBE TiNbSCl2, relaxed
# D(E_F) (states/eV/f.u.): 6.2
# Theoretical density (kg/m3): 3486
data_TiNbSCl2
_cell_length_a 4.898
_cell_length_b 4.898
_cell_length_c 4.840
_cell_angle_alpha 90.00
_cell_angle_beta 90.00
_cell_angle_gamma 90.00
_symmetry_space_group_name_H-M 'P 4/m m m'
_symmetry_Int_Tables_number 123
_symmetry_space_group_name_Hall '-P 4 2'
loop_
_atom_site_label
_atom_site_type_symbol
_atom_site_fract_x
_atom_site_fract_y
_atom_site_fract_z
_atom_site_occupancy
Ti1 Ti 0.000 0.000 0.000 1
Nb1 Nb 0.500 0.500 0.500 1
S1 S 0.500 0.500 0.000 1
Cl1 Cl 0.000 0.500 0.500 1


Going by the computed energies, the most stable comes first: <1>, <2>.


<1>
# PBE NbTlSCl2, relaxed
# D(E_F) (states/eV/f.u.): 4.9
# Theoretical density (kg/m3): 4595
data_NbTlSCl2
_cell_length_a 5.258
_cell_length_b 5.258
_cell_length_c 5.233
_cell_angle_alpha 90.00
_cell_angle_beta 90.00
_cell_angle_gamma 90.00
_symmetry_space_group_name_H-M 'P 4/m m m'
_symmetry_Int_Tables_number 123
_symmetry_space_group_name_Hall '-P 4 2'
loop_
_atom_site_label
_atom_site_type_symbol
_atom_site_fract_x
_atom_site_fract_y
_atom_site_fract_z
_atom_site_occupancy
Nb1 Nb 0.000 0.000 0.000 1
Tl1 Tl 0.500 0.500 0.500 1
S1 S 0.500 0.500 0.000 1
Cl1 Cl 0.000 0.500 0.500 1


<2>
# PBE NbTlSCl2, relaxed
# D(E_F) (states/eV/f.u.): 1.9
# Theoretical density (kg/m3): 5210
data_NbTlSCl2
_cell_length_a 5.147
_cell_length_b 5.147
_cell_length_c 4.815
_cell_angle_alpha 90.00
_cell_angle_beta 90.00
_cell_angle_gamma 90.00
_symmetry_space_group_name_H-M 'P 4/m m m'
_symmetry_Int_Tables_number 123
_symmetry_space_group_name_Hall '-P 4 2'
loop_
_atom_site_label
_atom_site_type_symbol
_atom_site_fract_x
_atom_site_fract_y
_atom_site_fract_z
_atom_site_occupancy
Nb1 Nb 0.000 0.000 0.000 1
Tl1 Tl 0.500 0.500 0.500 1
S1 S 0.000 0.000 0.500 1
Cl1 Cl 0.000 0.500 0.000 1


Going by the computed energies, the most stable comes first: <2>, <1>.


<1>
# PBE NbVS2Cl, relaxed
# D(E_F) (states/eV/f.u.): 8.6
# Theoretical density (kg/m3): 3630
data_NbVS2Cl
_cell_length_a 4.836
_cell_length_b 4.836
_cell_length_c 4.762
_cell_angle_alpha 90.00
_cell_angle_beta 90.00
_cell_angle_gamma 90.00
_symmetry_space_group_name_H-M 'P 4/m m m'
_symmetry_Int_Tables_number 123
_symmetry_space_group_name_Hall '-P 4 2'
loop_
_atom_site_label
_atom_site_type_symbol
_atom_site_fract_x
_atom_site_fract_y
_atom_site_fract_z
_atom_site_occupancy
Nb1 Nb 0.000 0.000 0.000 1
V1 V 0.500 0.500 0.500 1
S1 S 0.000 0.500 0.000 1
Cl1 Cl 0.000 0.000 0.500 1


<2>
# PBE NbVS2Cl, relaxed
# D(E_F) (states/eV/f.u.): 4.8
# Theoretical density (kg/m3): 4056
data_NbVS2Cl
_cell_length_a 4.675
_cell_length_b 4.675
_cell_length_c 4.560
_cell_angle_alpha 90.00
_cell_angle_beta 90.00
_cell_angle_gamma 90.00
_symmetry_space_group_name_H-M 'P 4/m m m'
_symmetry_Int_Tables_number 123
_symmetry_space_group_name_Hall '-P 4 2'
loop_
_atom_site_label
_atom_site_type_symbol
_atom_site_fract_x
_atom_site_fract_y
_atom_site_fract_z
_atom_site_occupancy
Nb1 Nb 0.000 0.000 0.000 1
V1 V 0.500 0.500 0.500 1
S1 S 0.000 0.500 0.500 1
Cl1 Cl 0.500 0.500 0.000 1


Going by the computed energies, the most stable comes first: <2>, <1>.


<1>
# PBE YNbS2Cl, relaxed
# D(E_F) (states/eV/f.u.): 4.7
# Theoretical density (kg/m3): 3390
data_YNbS2Cl
_cell_length_a 5.252
_cell_length_b 5.252
_cell_length_c 4.997
_cell_angle_alpha 90.00
_cell_angle_beta 90.00
_cell_angle_gamma 90.00
_symmetry_space_group_name_H-M 'P 4/m m m'
_symmetry_Int_Tables_number 123
_symmetry_space_group_name_Hall '-P 4 2'
loop_
_atom_site_label
_atom_site_type_symbol
_atom_site_fract_x
_atom_site_fract_y
_atom_site_fract_z
_atom_site_occupancy
Y1 Y 0.000 0.000 0.000 1
Nb1 Nb 0.500 0.500 0.500 1
S1 S 0.000 0.500 0.000 1
Cl1 Cl 0.000 0.000 0.500 1


<2>
# PBE YNbS2Cl, relaxed
# D(E_F) (states/eV/f.u.): 4.6
# Theoretical density (kg/m3): 4201
data_YNbS2Cl
_cell_length_a 4.811
_cell_length_b 4.811
_cell_length_c 4.805
_cell_angle_alpha 90.00
_cell_angle_beta 90.00
_cell_angle_gamma 90.00
_symmetry_space_group_name_H-M 'P 4/m m m'
_symmetry_Int_Tables_number 123
_symmetry_space_group_name_Hall '-P 4 2'
loop_
_atom_site_label
_atom_site_type_symbol
_atom_site_fract_x
_atom_site_fract_y
_atom_site_fract_z
_atom_site_occupancy
Y1 Y 0.000 0.000 0.000 1
Nb1 Nb 0.500 0.500 0.500 1
S1 S 0.000 0.500 0.500 1
Cl1 Cl 0.500 0.500 0.000 1


Going by the computed energies, the most stable comes first: <2>, <1>.


<1>
# PBE YNbSCl2, relaxed
# D(E_F) (states/eV/f.u.): 6.9
# Theoretical density (kg/m3): 3310
data_YNbSCl2
_cell_length_a 5.168
_cell_length_b 5.168
_cell_length_c 5.348
_cell_angle_alpha 90.00
_cell_angle_beta 90.00
_cell_angle_gamma 90.00
_symmetry_space_group_name_H-M 'P 4/m m m'
_symmetry_Int_Tables_number 123
_symmetry_space_group_name_Hall '-P 4 2'
loop_
_atom_site_label
_atom_site_type_symbol
_atom_site_fract_x
_atom_site_fract_y
_atom_site_fract_z
_atom_site_occupancy
Y1 Y 0.000 0.000 0.000 1
Nb1 Nb 0.500 0.500 0.500 1
S1 S 0.000 0.000 0.500 1
Cl1 Cl 0.000 0.500 0.000 1


<2>
# PBE YNbSCl2, relaxed
# D(E_F) (states/eV/f.u.): 5.3
# Theoretical density (kg/m3): 4114
data_YNbSCl2
_cell_length_a 4.884
_cell_length_b 4.884
_cell_length_c 4.819
_cell_angle_alpha 90.00
_cell_angle_beta 90.00
_cell_angle_gamma 90.00
_symmetry_space_group_name_H-M 'P 4/m m m'
_symmetry_Int_Tables_number 123
_symmetry_space_group_name_Hall '-P 4 2'
loop_
_atom_site_label
_atom_site_type_symbol
_atom_site_fract_x
_atom_site_fract_y
_atom_site_fract_z
_atom_site_occupancy
Y1 Y 0.000 0.000 0.000 1
Nb1 Nb 0.500 0.500 0.500 1
S1 S 0.500 0.500 0.000 1
Cl1 Cl 0.000 0.500 0.500 1


Going by the computed energies, the most stable comes first: <2>, <1>.